Record 1
Material: Pr3Ga
Method: DFT, PBE-GGA
State: optimized geometry

Calculated values
Its polymorph energy (0 for the lowest one) is 21.4 kJ per mole of atoms. As for the formation energy: -35 meV per atom. The volume comes out at 132 Å³/cell. The spin magnetization comes out at 0.00 μB per cell. Its energy is -4.377 eV per atom.

Lattice parameters (Å, degrees): 3.524 3.597 10.420 90.00 90.00 90.00
Space group Pmm2 (No. 25)
Symmetry-distinct sites (fractional):
Pr  0.000  0.000  0.000 (multiplicity 1)
Pr  0.000  0.500  0.422 (multiplicity 1)
Pr  0.500  0.500  0.733 (multiplicity 1)
Ga  0.500  0.000  0.244 (multiplicity 1)



Record 2
Material: Pu2PaGe3
Method: DFT, PBE-GGA
State: optimized geometry

Calculated values
Its polymorph energy (0 for the lowest one) is 13.6 kJ per mole of atoms. As for the formation energy: -274 meV per atom. The volume comes out at 305 Å³/cell. The spin magnetization comes out at 18.45 μB per cell. Its energy is -8.943 eV per atom.

Lattice parameters (Å, degrees): 4.167 5.877 12.473 90.00 90.00 90.00
Space group Immm (No. 71)
Symmetry-distinct sites (fractional):
Pu  0.000  0.000  0.167 (multiplicity 4)
Pa  0.000  0.000  0.500 (multiplicity 2)
Ge  0.000  0.500  0.163 (multiplicity 4)
Ge  0.000  0.500  0.500 (multiplicity 2)



Record 3
Material: ScSiO2
Method: DFT, PBE-GGA
State: optimized geometry

Calculated values
The volume comes out at 252 Å³/cell. The spin magnetization comes out at 0.00 μB per cell. Its energy is -7.073 eV per atom. The formation energy without anion corrections is -1.66 eV per atom.

Lattice parameters (Å, degrees): 5.161 5.161 9.473 90.00 90.00 90.00
Space group I-42d (No. 122)
Symmetry-distinct sites (fractional):
Sc  0.000  0.000  0.000 (multiplicity 4)
Si  0.000  0.000  0.500 (multiplicity 4)
O  0.190  0.250  0.125 (multiplicity 8)



Record 4
Material: La6YErTm2
Method: DFT, PBE-GGA
State: optimized geometry

Calculated values
As for the formation energy: 108 meV per atom. The volume comes out at 1390 Å³/cell. The spin magnetization comes out at 0.00 μB per cell. Its energy is -4.845 eV per atom.

Lattice parameters (Å, degrees): 9.286 15.502 9.754 90.00 98.22 90.00
Space group C2/c (No. 15)
Symmetry-distinct sites (fractional):
La  0.063  0.175  0.449 (multiplicity 8)
La  0.099  0.393  0.620 (multiplicity 8)
La  0.219  0.222  0.806 (multiplicity 8)
Y  0.000  0.026  0.750 (multiplicity 4)
Er  0.000  0.413  0.250 (multiplicity 4)
Tm  0.247  0.048  0.046 (multiplicity 8)



Record 5
Material: SrSb2Cl
Method: DFT, PBE-GGA
State: optimized geometry

Calculated values
Its polymorph energy (0 for the lowest one) is 8.6 kJ per mole of atoms. The volume comes out at 506 Å³/cell. The spin magnetization comes out at 0.00 μB per cell. Its energy is -3.891 eV per atom. The formation energy without anion corrections is -0.95 eV per atom.

Lattice parameters (Å, degrees): 4.318 4.318 27.151 90.00 90.00 90.00
Space group I-42d (No. 122)
Symmetry-distinct sites (fractional):
Sr  0.000  0.000  0.000 (multiplicity 4)
Sb  0.225  0.250  0.125 (multiplicity 8)
Cl  0.000  0.000  0.500 (multiplicity 4)



Record 6
Material: RbNa2ErCl6
Method: DFT, PBE-GGA
State: optimized geometry

Calculated values
The volume comes out at 300 Å³/cell. The spin magnetization comes out at 0.00 μB per cell. Its energy is -3.968 eV per atom. The formation energy without anion corrections is -2.04 eV per atom.

Lattice parameters (Å, degrees): 7.242 7.245 7.818 62.41 62.42 60.03
Space group P1 (No. 1)
Symmetry-distinct sites (fractional):
Rb  0.000  0.000  0.000 (multiplicity 1)
Na  0.203  0.201  0.393 (multiplicity 1)
Na  0.718  0.718  0.846 (multiplicity 1)
Er  0.522  0.522  0.435 (multiplicity 1)
Cl  0.143  0.769  0.639 (multiplicity 1)
Cl  0.365  0.547  0.176 (multiplicity 1)
Cl  0.449  0.143  0.639 (multiplicity 1)
Cl  0.547  0.912  0.175 (multiplicity 1)
Cl  0.769  0.449  0.639 (multiplicity 1)
Cl  0.912  0.366  0.175 (multiplicity 1)



- Look up the spin magnetization of the sixth one.
  0.00 μB per cell



- Number 5 is which compound?
  SrSb2Cl